[1]
Computed, not measured: a relaxed LaTlCuPt crystal at the PBE-GGA level of DFT.

CIF file:
```
data_LaTlCuPt
_chemical_formula_sum 'La1 Tl1 Cu1 Pt1'
_symmetry_space_group_name_H-M 'P 1'
_symmetry_Int_Tables_number 1
_symmetry_space_group_name_Hall 'P 1'
_cell_length_a 4.9793
_cell_length_b 4.9793
_cell_length_c 4.9793
_cell_angle_alpha 60.00
_cell_angle_beta 60.00
_cell_angle_gamma 60.00
loop_
_atom_site_label
_atom_site_type_symbol
_atom_site_fract_x
_atom_site_fract_y
_atom_site_fract_z
_atom_site_occupancy
La1 La 0.0000 0.0000 0.0000 1
Tl1 Tl 0.5000 0.5000 0.5000 1
Cu1 Cu 0.2500 0.2500 0.2500 1
Pt1 Pt 0.7500 0.7500 0.7500 1
```

Computed properties:
energy of formation from the pure elements = -412.9 meV per atom

[2]
Computed, not measured: a relaxed La2UCuPt6 crystal at the PBE-GGA level of DFT.

CIF file:
```
data_La2UCuPt6
_chemical_formula_sum 'La2 U1 Cu1 Pt6'
_symmetry_space_group_name_H-M 'P 1'
_symmetry_Int_Tables_number 1
_symmetry_space_group_name_Hall 'P 1'
_cell_length_a 6.9365
_cell_length_b 6.9365
_cell_length_c 6.9365
_cell_angle_alpha 60.00
_cell_angle_beta 60.00
_cell_angle_gamma 60.00
loop_
_atom_site_label
_atom_site_type_symbol
_atom_site_fract_x
_atom_site_fract_y
_atom_site_fract_z
_atom_site_occupancy
La1 La 0.2500 0.2500 0.2500 1
La2 La 0.7500 0.7500 0.7500 1
U1 U 0.0000 0.0000 0.0000 1
Cu1 Cu 0.5000 0.5000 0.5000 1
Pt1 Pt 0.2574 0.2574 0.7426 1
Pt2 Pt 0.2574 0.7426 0.2574 1
Pt3 Pt 0.2574 0.7426 0.7426 1
Pt4 Pt 0.7426 0.2574 0.2574 1
Pt5 Pt 0.7426 0.2574 0.7426 1
Pt6 Pt 0.7426 0.7426 0.2574 1
```

Computed properties:
energy of formation from the pure elements = -384.1 meV per atom

[3]
Computed, not measured: a relaxed La2VCuPt crystal at the PBE-GGA level of DFT.

CIF file:
```
data_La2VCuPt
_chemical_formula_sum 'La2 V1 Cu1 Pt1'
_symmetry_space_group_name_H-M 'P 1'
_symmetry_Int_Tables_number 1
_symmetry_space_group_name_Hall 'P 1'
_cell_length_a 5.5508
_cell_length_b 5.5508
_cell_length_c 4.7762
_cell_angle_alpha 90.00
_cell_angle_beta 90.00
_cell_angle_gamma 90.00
loop_
_atom_site_label
_atom_site_type_symbol
_atom_site_fract_x
_atom_site_fract_y
_atom_site_fract_z
_atom_site_occupancy
La1 La 0.0000 0.5000 0.0000 1
La2 La 0.5000 0.0000 0.0000 1
V1 V 0.0000 0.0000 0.5000 1
Cu1 Cu 0.5000 0.5000 0.5000 1
Pt1 Pt 0.5000 0.5000 0.0000 1
```

Computed properties:
energy of formation from the pure elements = 428.9 meV per atom

[4]
Computed, not measured: a relaxed LaYCuPt crystal at the PBE-GGA level of DFT.

CIF file:
```
data_LaYCuPt
_chemical_formula_sum 'La1 Y1 Cu1 Pt1'
_symmetry_space_group_name_H-M 'P 1'
_symmetry_Int_Tables_number 1
_symmetry_space_group_name_Hall 'P 1'
_cell_length_a 4.5560
_cell_length_b 5.7306
_cell_length_c 5.7306
_cell_angle_alpha 39.59
_cell_angle_beta 90.00
_cell_angle_gamma 90.00
loop_
_atom_site_label
_atom_site_type_symbol
_atom_site_fract_x
_atom_site_fract_y
_atom_site_fract_z
_atom_site_occupancy
La1 La 0.0000 0.0000 0.0000 1
Y1 Y 0.5000 0.7243 0.7243 1
Cu1 Cu 0.5000 0.4349 0.4349 1
Pt1 Pt 0.0000 0.2806 0.2806 1
```

Computed properties:
energy of formation from the pure elements = -724.9 meV per atom

[5]
Computed, not measured: a relaxed LaZnCuPt2 crystal at the PBE-GGA level of DFT.

CIF file:
```
data_LaZnCuPt2
_chemical_formula_sum 'La1 Zn1 Cu1 Pt2'
_symmetry_space_group_name_H-M 'P 1'
_symmetry_Int_Tables_number 1
_symmetry_space_group_name_Hall 'P 1'
_cell_length_a 6.6215
_cell_length_b 6.6215
_cell_length_c 6.6215
_cell_angle_alpha 144.60
_cell_angle_beta 144.60
_cell_angle_gamma 50.93
loop_
_atom_site_label
_atom_site_type_symbol
_atom_site_fract_x
_atom_site_fract_y
_atom_site_fract_z
_atom_site_occupancy
La1 La 0.0000 0.0000 0.0000 1
Zn1 Zn 0.2500 0.7500 0.5000 1
Cu1 Cu 0.7500 0.2500 0.5000 1
Pt1 Pt 0.3873 0.3873 0.0000 1
Pt2 Pt 0.6127 0.6127 0.0000 1
```

Computed properties:
energy of formation from the pure elements = -718.0 meV per atom

[6]
Computed, not measured: a relaxed La2Zn3CuPt12 crystal at the PBE-GGA level of DFT.

CIF file:
```
data_La2Zn3CuPt12
_chemical_formula_sum 'La2 Zn3 Cu1 Pt12'
_symmetry_space_group_name_H-M 'P 1'
_symmetry_Int_Tables_number 1
_symmetry_space_group_name_Hall 'P 1'
_cell_length_a 8.0560
_cell_length_b 8.0560
_cell_length_c 8.0560
_cell_angle_alpha 59.45
_cell_angle_beta 59.45
_cell_angle_gamma 59.45
loop_
_atom_site_label
_atom_site_type_symbol
_atom_site_fract_x
_atom_site_fract_y
_atom_site_fract_z
_atom_site_occupancy
La1 La 0.1282 0.1282 0.1282 1
La2 La 0.8718 0.8718 0.8718 1
Zn1 Zn 0.0000 0.5000 0.5000 1
Zn2 Zn 0.5000 0.0000 0.5000 1
Zn3 Zn 0.5000 0.5000 0.0000 1
Cu1 Cu 0.5000 0.5000 0.5000 1
Pt1 Pt 0.1186 0.1186 0.6318 1
Pt2 Pt 0.1186 0.6318 0.1186 1
Pt3 Pt 0.1226 0.6272 0.6272 1
Pt4 Pt 0.3682 0.8814 0.8814 1
Pt5 Pt 0.3728 0.3728 0.8774 1
Pt6 Pt 0.3728 0.8774 0.3728 1
Pt7 Pt 0.6272 0.1226 0.6272 1
Pt8 Pt 0.6272 0.6272 0.1226 1
Pt9 Pt 0.6318 0.1186 0.1186 1
Pt10 Pt 0.8774 0.3728 0.3728 1
Pt11 Pt 0.8814 0.3682 0.8814 1
Pt12 Pt 0.8814 0.8814 0.3682 1
```

Computed properties:
energy of formation from the pure elements = -245.6 meV per atom

[7]
Computed, not measured: a relaxed La2ZnCu6Pt crystal at the PBE-GGA level of DFT.

CIF file:
```
data_La2ZnCu6Pt
_chemical_formula_sum 'La2 Zn1 Cu6 Pt1'
_symmetry_space_group_name_H-M 'P 1'
_symmetry_Int_Tables_number 1
_symmetry_space_group_name_Hall 'P 1'
_cell_length_a 6.0938
_cell_length_b 6.2861
_cell_length_c 6.4692
_cell_angle_alpha 62.80
_cell_angle_beta 62.15
_cell_angle_gamma 63.17
loop_
_atom_site_label
_atom_site_type_symbol
_atom_site_fract_x
_atom_site_fract_y
_atom_site_fract_z
_atom_site_occupancy
La1 La 0.1841 0.1902 0.1921 1
La2 La 0.8159 0.8098 0.8079 1
Zn1 Zn 0.5000 0.5000 0.5000 1
Cu1 Cu 0.1649 0.6134 0.3244 1
Cu2 Cu 0.3302 0.1642 0.6012 1
Cu3 Cu 0.3872 0.6621 0.8370 1
Cu4 Cu 0.6128 0.3379 0.1630 1
Cu5 Cu 0.6698 0.8358 0.3988 1
Cu6 Cu 0.8351 0.3866 0.6756 1
Pt1 Pt 0.0000 0.0000 0.0000 1
```

Computed properties:
energy of formation from the pure elements = -194.1 meV per atom

[8]
Computed, not measured: a relaxed LaZn4Cu2Pt crystal at the PBE-GGA level of DFT.

CIF file:
```
data_LaZn4Cu2Pt
_chemical_formula_sum 'La1 Zn4 Cu2 Pt1'
_symmetry_space_group_name_H-M 'P 1'
_symmetry_Int_Tables_number 1
_symmetry_space_group_name_Hall 'P 1'
_cell_length_a 9.3719
_cell_length_b 9.3719
_cell_length_c 9.3719
_cell_angle_alpha 26.16
_cell_angle_beta 26.16
_cell_angle_gamma 26.16
loop_
_atom_site_label
_atom_site_type_symbol
_atom_site_fract_x
_atom_site_fract_y
_atom_site_fract_z
_atom_site_occupancy
La1 La 0.0000 0.0000 0.0000 1
Zn1 Zn 0.1310 0.1310 0.1310 1
Zn2 Zn 0.4052 0.4052 0.4052 1
Zn3 Zn 0.5948 0.5948 0.5948 1
Zn4 Zn 0.8690 0.8690 0.8690 1
Cu1 Cu 0.2353 0.2353 0.2353 1
Cu2 Cu 0.7647 0.7647 0.7647 1
Pt1 Pt 0.5000 0.5000 0.5000 1
```

Computed properties:
energy of formation from the pure elements = -274.2 meV per atom

[9]
Computed, not measured: a relaxed La2Zn3Cu12Pt crystal at the PBE-GGA level of DFT.

CIF file:
```
data_La2Zn3Cu12Pt
_chemical_formula_sum 'La2 Zn3 Cu12 Pt1'
_symmetry_space_group_name_H-M 'P 1'
_symmetry_Int_Tables_number 1
_symmetry_space_group_name_Hall 'P 1'
_cell_length_a 9.7865
_cell_length_b 9.7865
_cell_length_c 9.7865
_cell_angle_alpha 36.95
_cell_angle_beta 36.95
_cell_angle_gamma 36.95
loop_
_atom_site_label
_atom_site_type_symbol
_atom_site_fract_x
_atom_site_fract_y
_atom_site_fract_z
_atom_site_occupancy
La1 La 0.1507 0.1507 0.1507 1
La2 La 0.8493 0.8493 0.8493 1
Zn1 Zn 0.0000 0.5000 0.5000 1
Zn2 Zn 0.5000 0.0000 0.5000 1
Zn3 Zn 0.5000 0.5000 0.0000 1
Cu1 Cu 0.0810 0.0810 0.6934 1
Cu2 Cu 0.0810 0.6934 0.0810 1
Cu3 Cu 0.1438 0.5674 0.5674 1
Cu4 Cu 0.3066 0.9190 0.9190 1
Cu5 Cu 0.4326 0.4326 0.8562 1
Cu6 Cu 0.4326 0.8562 0.4326 1
Cu7 Cu 0.5674 0.1438 0.5674 1
Cu8 Cu 0.5674 0.5674 0.1438 1
Cu9 Cu 0.6934 0.0810 0.0810 1
Cu10 Cu 0.8562 0.4326 0.4326 1
Cu11 Cu 0.9190 0.3066 0.9190 1
Cu12 Cu 0.9190 0.9190 0.3066 1
Pt1 Pt 0.5000 0.5000 0.5000 1
```

Computed properties:
energy of formation from the pure elements = 46.8 meV per atom

[10]
Computed, not measured: a relaxed La2ZnCu2Pt5 crystal at the PBE-GGA level of DFT.

CIF file:
```
data_La2ZnCu2Pt5
_chemical_formula_sum 'La4 Zn2 Cu4 Pt10'
_symmetry_space_group_name_H-M 'P 1'
_symmetry_Int_Tables_number 1
_symmetry_space_group_name_Hall 'P 1'
_cell_length_a 9.5726
_cell_length_b 9.5726
_cell_length_c 3.9308
_cell_angle_alpha 90.00
_cell_angle_beta 90.00
_cell_angle_gamma 90.00
loop_
_atom_site_label
_atom_site_type_symbol
_atom_site_fract_x
_atom_site_fract_y
_atom_site_fract_z
_atom_site_occupancy
La1 La 0.1781 0.3219 0.0000 1
La2 La 0.3219 0.8219 0.0000 1
La3 La 0.6781 0.1781 0.0000 1
La4 La 0.8219 0.6781 0.0000 1
Zn1 Zn 0.0000 0.0000 0.0000 1
Zn2 Zn 0.5000 0.5000 0.0000 1
Cu1 Cu 0.1212 0.6212 0.0000 1
Cu2 Cu 0.3788 0.1212 0.0000 1
Cu3 Cu 0.6212 0.8788 0.0000 1
Cu4 Cu 0.8788 0.3788 0.0000 1
Pt1 Pt 0.0000 0.5000 0.5000 1
Pt2 Pt 0.0634 0.7954 0.5000 1
Pt3 Pt 0.2046 0.0634 0.5000 1
Pt4 Pt 0.2954 0.5634 0.5000 1
Pt5 Pt 0.4366 0.2954 0.5000 1
Pt6 Pt 0.5000 0.0000 0.5000 1
Pt7 Pt 0.5634 0.7046 0.5000 1
Pt8 Pt 0.7046 0.4366 0.5000 1
Pt9 Pt 0.7954 0.9366 0.5000 1
Pt10 Pt 0.9366 0.2046 0.5000 1
```

Computed properties:
energy of formation from the pure elements = -734.3 meV per atom

[11]
Computed, not measured: a relaxed La2Zn12Cu3Pt crystal at the PBE-GGA level of DFT.

CIF file:
```
data_La2Zn12Cu3Pt
_chemical_formula_sum 'La2 Zn12 Cu3 Pt1'
_symmetry_space_group_name_H-M 'P 1'
_symmetry_Int_Tables_number 1
_symmetry_space_group_name_Hall 'P 1'
_cell_length_a 10.9840
_cell_length_b 10.9840
_cell_length_c 10.9840
_cell_angle_alpha 32.00
_cell_angle_beta 32.00
_cell_angle_gamma 32.00
loop_
_atom_site_label
_atom_site_type_symbol
_atom_site_fract_x
_atom_site_fract_y
_atom_site_fract_z
_atom_site_occupancy
La1 La 0.1430 0.1430 0.1430 1
La2 La 0.8570 0.8570 0.8570 1
Zn1 Zn 0.0917 0.0917 0.6707 1
Zn2 Zn 0.0917 0.6707 0.0917 1
Zn3 Zn 0.1134 0.5980 0.5980 1
Zn4 Zn 0.3293 0.9083 0.9083 1
Zn5 Zn 0.4020 0.4020 0.8866 1
Zn6 Zn 0.4020 0.8866 0.4020 1
Zn7 Zn 0.5980 0.1134 0.5980 1
Zn8 Zn 0.5980 0.5980 0.1134 1
Zn9 Zn 0.6707 0.0917 0.0917 1
Zn10 Zn 0.8866 0.4020 0.4020 1
Zn11 Zn 0.9083 0.3293 0.9083 1
Zn12 Zn 0.9083 0.9083 0.3293 1
Cu1 Cu 0.0000 0.5000 0.5000 1
Cu2 Cu 0.5000 0.0000 0.5000 1
Cu3 Cu 0.5000 0.5000 0.0000 1
Pt1 Pt 0.5000 0.5000 0.5000 1
```

Computed properties:
energy of formation from the pure elements = -90.8 meV per atom

[12]
Computed, not measured: a relaxed La2ZrCuPt crystal at the PBE-GGA level of DFT.

CIF file:
```
data_La2ZrCuPt
_chemical_formula_sum 'La2 Zr1 Cu1 Pt1'
_symmetry_space_group_name_H-M 'P 1'
_symmetry_Int_Tables_number 1
_symmetry_space_group_name_Hall 'P 1'
_cell_length_a 5.4265
_cell_length_b 5.4265
_cell_length_c 4.8888
_cell_angle_alpha 90.00
_cell_angle_beta 90.00
_cell_angle_gamma 90.00
loop_
_atom_site_label
_atom_site_type_symbol
_atom_site_fract_x
_atom_site_fract_y
_atom_site_fract_z
_atom_site_occupancy
La1 La 0.0000 0.5000 0.0000 1
La2 La 0.5000 0.0000 0.0000 1
Zr1 Zr 0.0000 0.0000 0.5000 1
Cu1 Cu 0.0000 0.0000 0.0000 1
Pt1 Pt 0.5000 0.5000 0.5000 1
```

Computed properties:
energy of formation from the pure elements = 299.2 meV per atom

no.,energy (eV per atom),density of states at the Fermi level (states/eV/f.u.)
1,-4.771,2.937
2,-6.532,3.977
3,-5.393,7.109
4,-6.107,3.380
5,-5.194,2.619
6,-5.260,3.330
7,-4.369,6.390
8,-3.306,4.127
9,-3.779,7.971
10,-5.687,3.500
11,-2.506,9.482
12,-5.409,10.056